# 1
# Tm4SiTeS2, optimized geometry, DFT PBE-GGA
# - electronic total energy (hartree per atom) = -0.213
# - volume (Å³/atom) = 23.195
# - magnetic moment (μB per formula unit) = 0.00
# - E_form (uncorrected) (meV per atom) = -1467
data_Tm4SiTeS2
_symmetry_space_group_name_H-M 'P 1 2/m 1'
_symmetry_Int_Tables_number 10
_symmetry_space_group_name_Hall '-P 2y'
_cell_length_a 6.908
_cell_length_b 4.013
_cell_length_c 7.096
_cell_angle_alpha 90.00
_cell_angle_beta 109.38
_cell_angle_gamma 90.00
loop_
_atom_site_label
_atom_site_type_symbol
_atom_site_fract_x
_atom_site_fract_y
_atom_site_fract_z
Tm1 Tm 0.230 0.000 0.218
Tm2 Tm 0.246 0.500 0.767
Si1 Si 0.500 0.000 0.000
Te1 Te 0.500 0.500 0.500
S1 S 0.000 0.000 0.500
S2 S 0.000 0.500 0.000

***

# 2
# HgW, optimized geometry, DFT PBE-GGA
# - electronic total energy (hartree per atom) = -0.217
# - offset from the most stable computed form (meV/atom) = 207.9
# - volume (Å³/atom) = 22.228
# - magnetic moment (μB per formula unit) = 0.00
# - ΔE_f (meV/atom) = 712
data_HgW
_symmetry_space_group_name_H-M 'A m m 2'
_symmetry_Int_Tables_number 38
_symmetry_space_group_name_Hall 'A 2 -2'
_cell_length_a 3.046
_cell_length_b 12.719
_cell_length_c 6.886
_cell_angle_alpha 90.00
_cell_angle_beta 90.00
_cell_angle_gamma 90.00
loop_
_atom_site_label
_atom_site_type_symbol
_atom_site_fract_x
_atom_site_fract_y
_atom_site_fract_z
Hg1 Hg 0.000 0.000 0.000
Hg2 Hg 0.500 0.242 0.333
W1 W 0.000 0.099 0.608
W2 W 0.500 0.000 0.372

***

# 3
# Tm5TlRh4, optimized geometry, DFT PBE-GGA
# - electronic total energy (hartree per atom) = -0.230
# - volume (Å³/atom) = 20.696
# - magnetic moment (μB per formula unit) = 0.00
# - ΔE_f (meV/atom) = -834
data_Tm5TlRh4
_symmetry_space_group_name_H-M 'P 4/m m m'
_symmetry_Int_Tables_number 123
_symmetry_space_group_name_Hall '-P 4 2'
_cell_length_a 3.429
_cell_length_b 3.429
_cell_length_c 17.603
_cell_angle_alpha 90.00
_cell_angle_beta 90.00
_cell_angle_gamma 90.00
loop_
_atom_site_label
_atom_site_type_symbol
_atom_site_fract_x
_atom_site_fract_y
_atom_site_fract_z
Tm1 Tm 0.000 0.000 0.000
Tm2 Tm 0.000 0.000 0.189
Tm3 Tm 0.000 0.000 0.376
Tl1 Tl 0.500 0.500 0.500
Rh1 Rh 0.500 0.500 0.094
Rh2 Rh 0.500 0.500 0.285

***

# 4
# PmNd3Pd3, optimized geometry, DFT PBE-GGA
# - electronic total energy (hartree per atom) = -0.204
# - volume (Å³/atom) = 26.693
# - magnetic moment (μB per formula unit) = 0.00
# - ΔE_f (meV/atom) = -599
data_PmNd3Pd3
_symmetry_space_group_name_H-M 'C 1 2/m 1'
_symmetry_Int_Tables_number 12
_symmetry_space_group_name_Hall '-C 2y'
_cell_length_a 9.566
_cell_length_b 10.746
_cell_length_c 7.273
_cell_angle_alpha 90.00
_cell_angle_beta 91.37
_cell_angle_gamma 90.00
loop_
_atom_site_label
_atom_site_type_symbol
_atom_site_fract_x
_atom_site_fract_y
_atom_site_fract_z
Pm1 Pm 0.241 0.000 0.376
Nd1 Nd 0.000 0.249 0.500
Nd2 Nd 0.000 0.323 0.000
Nd3 Nd 0.156 0.000 0.872
Pd1 Pd 0.063 0.500 0.310
Pd2 Pd 0.241 0.245 0.221

***

# 5
# Pr4Zn5Ni2, optimized geometry, DFT PBE-GGA
# - electronic total energy (hartree per atom) = -0.134
# - volume (Å³/atom) = 22.481
# - magnetic moment (μB per formula unit) = 0.00
# - ΔE_f (meV/atom) = -278
data_Pr4Zn5Ni2
_symmetry_space_group_name_H-M 'P 1 2/m 1'
_symmetry_Int_Tables_number 10
_symmetry_space_group_name_Hall '-P 2y'
_cell_length_a 7.084
_cell_length_b 3.867
_cell_length_c 9.057
_cell_angle_alpha 90.00
_cell_angle_beta 94.60
_cell_angle_gamma 90.00
loop_
_atom_site_label
_atom_site_type_symbol
_atom_site_fract_x
_atom_site_fract_y
_atom_site_fract_z
Pr1 Pr 0.171 0.000 0.362
Pr2 Pr 0.247 0.000 0.940
Zn1 Zn 0.197 0.500 0.659
Zn2 Zn 0.438 0.500 0.201
Zn3 Zn 0.500 0.500 0.500
Ni1 Ni 0.064 0.500 0.134

***

# 6
# Ho2HRh, optimized geometry, DFT PBE-GGA
# - electronic total energy (hartree per atom) = -0.203
# - offset from the most stable computed form (meV/atom) = 146.0
# - volume (Å³/atom) = 19.220
# - magnetic moment (μB per formula unit) = 0.00
data_Ho2HRh
_symmetry_space_group_name_H-M 'R -3 m'
_symmetry_Int_Tables_number 166
_symmetry_space_group_name_Hall '-R 3 2"'
_cell_length_a 3.8427
_cell_length_b 3.8427
_cell_length_c 18.0350
_cell_angle_alpha 90.00
_cell_angle_beta 90.00
_cell_angle_gamma 120.00
loop_
_atom_site_label
_atom_site_type_symbol
_atom_site_fract_x
_atom_site_fract_y
_atom_site_fract_z
Ho1 Ho 0.0000 0.0000 0.2437
H1 H 0.0000 0.0000 0.5000
Rh1 Rh 0.0000 0.0000 0.0000